[1]
DFT (PBE-GGA) results for an optimized crystal structure of Cu3Ir12W5.

abc: 12.463 12.463 12.463
angles: 109.47 109.47 109.47
Sites, in units of the cell vectors:
Ir 0.128 0.392 0.064
Ir 0.736 0.128 0.064
Ir 0.628 0.564 0.892
Ir 0.827 0.892 0.264
Ir 0.392 0.128 0.564
Ir 0.936 0.827 0.564
Ir 0.064 0.173 0.436
Ir 0.872 0.608 0.936
Ir 0.236 0.564 0.628
Ir 0.608 0.736 0.673
Ir 0.173 0.108 0.736
Ir 0.128 0.736 0.564
Ir 0.436 0.764 0.872
Ir 0.564 0.236 0.128
Ir 0.436 0.372 0.608
Ir 0.327 0.764 0.392
Ir 0.892 0.827 0.764
Ir 0.436 0.673 0.064
Ir 0.372 0.936 0.764
Ir 0.892 0.064 0.628
Ir 0.764 0.327 0.892
Ir 0.673 0.436 0.564
Ir 0.628 0.064 0.236
Ir 0.064 0.436 0.827
Ir 0.392 0.264 0.327
Ir 0.173 0.064 0.936
Ir 0.936 0.372 0.264
Ir 0.936 0.564 0.173
Ir 0.764 0.436 0.372
Ir 0.108 0.936 0.372
Ir 0.673 0.236 0.608
Ir 0.064 0.892 0.128
Ir 0.608 0.872 0.436
Ir 0.436 0.064 0.327
Ir 0.564 0.936 0.673
Ir 0.564 0.327 0.936
Ir 0.236 0.673 0.108
Ir 0.872 0.264 0.436
Ir 0.736 0.608 0.173
Ir 0.264 0.392 0.827
Ir 0.264 0.872 0.936
Ir 0.827 0.936 0.064
Ir 0.108 0.173 0.236
Ir 0.372 0.436 0.108
Ir 0.064 0.628 0.736
Ir 0.936 0.108 0.872
Ir 0.564 0.628 0.392
Ir 0.327 0.564 0.436
W 0.500 0.500 0.500
W 0.000 0.500 0.000
W 0.125 0.375 0.250
W 0.625 0.875 0.250
W 0.375 0.250 0.125
W 0.750 0.125 0.875
W 0.500 0.000 0.000
W 0.500 0.500 0.000
W 0.625 0.750 0.875
W 0.500 0.000 0.500
W 0.000 0.000 0.500
W 0.000 0.500 0.500
W 0.250 0.375 0.625
W 0.875 0.250 0.625
W 0.250 0.875 0.125
W 0.125 0.750 0.375
W 0.000 0.000 0.000
W 0.375 0.125 0.750
W 0.750 0.625 0.375
W 0.875 0.625 0.750
Cu 0.125 0.875 0.750
Cu 0.750 0.375 0.125
Cu 0.125 0.250 0.875
Cu 0.875 0.750 0.125
Cu 0.750 0.875 0.625
Cu 0.625 0.375 0.750
Cu 0.625 0.250 0.375
Cu 0.375 0.750 0.625
Cu 0.250 0.625 0.875
Cu 0.875 0.125 0.250
Cu 0.250 0.125 0.375
Cu 0.375 0.625 0.250

Values from the calculation:
Space group   Ia-3d (230)
Raw total energy   -8.425 eV per atom
Formation enthalpy at 0 K   0.744 eV per atom
Density of states at the Fermi level   0.83 states/eV per atom
Total magnetic moment   0.00 Bohr magnetons per cell

---

[2]
DFT (PBE-GGA) results for an optimized crystal structure of In12Ga3P5.

abc: 14.075 14.075 14.075
angles: 109.47 109.47 109.47
Sites, in units of the cell vectors:
In 0.921 0.827 0.554
In 0.827 0.921 0.054
In 0.273 0.867 0.946
In 0.079 0.907 0.133
In 0.093 0.173 0.227
In 0.273 0.407 0.827
In 0.327 0.773 0.407
In 0.633 0.054 0.227
In 0.227 0.673 0.093
In 0.327 0.554 0.421
In 0.579 0.633 0.407
In 0.407 0.133 0.579
In 0.421 0.367 0.593
In 0.554 0.227 0.133
In 0.079 0.173 0.446
In 0.133 0.727 0.554
In 0.773 0.446 0.367
In 0.907 0.079 0.633
In 0.946 0.367 0.273
In 0.054 0.421 0.827
In 0.633 0.579 0.907
In 0.093 0.921 0.367
In 0.173 0.093 0.727
In 0.593 0.867 0.421
In 0.446 0.673 0.079
In 0.173 0.079 0.946
In 0.554 0.327 0.921
In 0.727 0.133 0.054
In 0.921 0.093 0.867
In 0.367 0.946 0.773
In 0.421 0.054 0.327
In 0.673 0.227 0.593
In 0.593 0.727 0.673
In 0.367 0.421 0.093
In 0.673 0.446 0.579
In 0.227 0.554 0.633
In 0.773 0.327 0.907
In 0.946 0.579 0.173
In 0.867 0.593 0.921
In 0.407 0.273 0.327
In 0.054 0.633 0.727
In 0.827 0.907 0.273
In 0.727 0.593 0.173
In 0.579 0.946 0.673
In 0.446 0.773 0.867
In 0.133 0.407 0.079
In 0.907 0.827 0.773
In 0.867 0.273 0.446
P 0.000 0.000 0.000
P 0.625 0.750 0.875
P 0.000 0.500 0.000
P 0.625 0.875 0.250
P 0.750 0.625 0.375
P 0.750 0.125 0.875
P 0.250 0.875 0.125
P 0.375 0.125 0.750
P 0.500 0.500 0.500
P 0.125 0.375 0.250
P 0.375 0.250 0.125
P 0.500 0.500 0.000
P 0.000 0.500 0.500
P 0.500 0.000 0.500
P 0.875 0.625 0.750
P 0.875 0.250 0.625
P 0.125 0.750 0.375
P 0.000 0.000 0.500
P 0.500 0.000 0.000
P 0.250 0.375 0.625
Ga 0.125 0.875 0.750
Ga 0.750 0.375 0.125
Ga 0.750 0.875 0.625
Ga 0.375 0.750 0.625
Ga 0.125 0.250 0.875
Ga 0.875 0.750 0.125
Ga 0.625 0.250 0.375
Ga 0.250 0.125 0.375
Ga 0.625 0.375 0.750
Ga 0.875 0.125 0.250
Ga 0.250 0.625 0.875
Ga 0.375 0.625 0.250

Values from the calculation:
Space group   Ia-3d (230)
Raw total energy   -3.355 eV per atom
Formation enthalpy at 0 K   0.094 eV per atom
Density of states at the Fermi level   0.50 states/eV per atom
Total magnetic moment   0.00 Bohr magnetons per cell

---

[3]
DFT (PBE-GGA) results for an optimized crystal structure of La2SmHo12.

abc: 6.639 6.639 25.019
angles: 83.45 96.55 64.78
Sites, in units of the cell vectors:
Ho 0.998 0.998 0.668
Ho 0.337 0.669 0.445
Ho 0.599 0.402 0.800
Ho 0.557 0.443 0.074
Ho 0.398 0.102 0.865
Ho 0.402 0.599 0.200
Ho 0.831 0.163 0.445
Ho 0.898 0.602 0.865
Ho 0.098 0.901 0.800
Ho 0.901 0.098 0.200
Ho 0.182 0.318 0.573
Ho 0.674 0.826 0.569
Ho 0.669 0.337 0.555
Ho 0.502 0.502 0.332
Ho 0.443 0.557 0.926
Ho 0.602 0.898 0.135
Ho 0.998 0.998 0.332
Ho 0.102 0.398 0.135
Ho 0.057 0.943 0.074
Ho 0.943 0.057 0.926
Ho 0.318 0.182 0.427
Ho 0.163 0.831 0.555
Ho 0.502 0.502 0.668
Ho 0.826 0.674 0.431
La 0.959 0.541 0.273
La 0.453 0.047 0.274
La 0.541 0.959 0.727
La 0.047 0.453 0.726
Sm 0.500 0.000 0.000
Sm 0.000 0.500 0.000

Values from the calculation:
Space group   C2/m (12)
Raw total energy   -4.526 eV per atom
Formation enthalpy at 0 K   0.108 eV per atom
Density of states at the Fermi level   1.52 states/eV per atom
Total magnetic moment   0.00 Bohr magnetons per cell

---

[4]
DFT (PBE-GGA) results for an optimized crystal structure of LiRuSe.

abc: 3.108 3.108 6.150
angles: 90.00 90.00 120.00
Sites, in units of the cell vectors:
Se 0.667 0.333 0.627
Li 0.000 0.000 0.010
Ru 0.333 0.667 0.363

Values from the calculation:
Formation energy from raw total energies   -0.04 eV/atom
Relative energy among the computed polymorphs   1.13 eV per formula unit
Space group   P3m1 (156)
Raw total energy   -4.932 eV per atom
Density of states at the Fermi level   0.48 states/eV per atom
Total magnetic moment   0.00 Bohr magnetons per cell

---

[5]
DFT (PBE-GGA) results for an optimized crystal structure of EuHo2Os.

abc: 3.897 3.897 10.764
angles: 79.57 79.57 60.00
Site moments in Bohr magnetons follow the coordinates.
Sites, in units of the cell vectors:
Os 0.500 0.500 0.500  -0.02
Ho 0.882 0.882 0.353  -0.01
Ho 0.118 0.118 0.647  -0.01
Eu 0.000 0.000 0.000  7.03

Values from the calculation:
Relative energy among the computed polymorphs   1.32 eV per formula unit
Space group   R-3m (166)
Raw total energy   -7.484 eV per atom
Formation enthalpy at 0 K   0.181 eV per atom
Density of states at the Fermi level   0.92 states/eV per atom
Total magnetic moment   7.48 Bohr magnetons per cell

---

[6]
DFT (PBE-GGA) results for an optimized crystal structure of SnB3Sb.

abc: 4.526 4.526 4.526
angles: 90.00 90.00 90.00
Sites, in units of the cell vectors:
B 0.000 0.000 0.500
B 0.000 0.500 0.000
B 0.500 0.000 0.000
Sb 0.000 0.000 0.000
Sn 0.500 0.500 0.500

Values from the calculation:
Formation energy from raw total energies   1.96 eV/atom
Relative energy among the computed polymorphs   0.00 eV per formula unit
Space group   Pm-3m (221)
Raw total energy   -3.673 eV per atom
Density of states at the Fermi level   0.65 states/eV per atom
Total magnetic moment   0.00 Bohr magnetons per cell

---

[7]
DFT (PBE-GGA) results for an optimized crystal structure of Ce2ZnRh2.

abc: 5.707 5.707 8.143
angles: 72.55 72.55 56.46
Site moments in Bohr magnetons follow the coordinates.
Sites, in units of the cell vectors:
Rh 0.720 0.014 0.526  -0.04
Rh 0.280 0.986 0.474  -0.04
Rh 0.014 0.720 0.026  -0.04
Rh 0.986 0.280 0.974  -0.04
Ce 0.511 0.195 0.150  0.47
Ce 0.489 0.805 0.850  0.47
Ce 0.195 0.511 0.650  0.47
Ce 0.805 0.489 0.350  0.47
Zn 0.152 0.848 0.250  0.01
Zn 0.848 0.152 0.750  0.01

Values from the calculation:
Space group   C2/c (15)
Raw total energy   -6.233 eV per atom
Formation enthalpy at 0 K   -0.664 eV per atom
Density of states at the Fermi level   1.88 states/eV per atom
Total magnetic moment   2.19 Bohr magnetons per cell

---

[8]
DFT (PBE-GGA) results for an optimized crystal structure of In.

abc: 3.291 3.291 3.291
angles: 109.47 109.47 109.47
Sites, in units of the cell vectors:
In 0.000 0.000 0.000

Values from the calculation:
Relative energy among the computed polymorphs   0.03 eV per formula unit
Space group   Im-3m (229)
Raw total energy   -2.712 eV per atom
Formation enthalpy at 0 K   0.027 eV per atom
Density of states at the Fermi level   0.45 states/eV per atom
Total magnetic moment   0.00 Bohr magnetons per cell

---

[9]
DFT (PBE-GGA) results for an optimized crystal structure of Co3BRu.

abc: 3.818 3.818 3.818
angles: 90.00 90.00 90.00
Site moments in Bohr magnetons follow the coordinates.
Sites, in units of the cell vectors:
Co 0.000 0.500 0.000  1.34
Co 0.500 0.000 0.000  1.47
Co 0.000 0.000 0.500  1.30
B 0.000 0.000 0.000  -0.10
Ru 0.500 0.500 0.500  1.80

Values from the calculation:
Relative energy among the computed polymorphs   0.00 eV per formula unit
Space group   Pm-3m (221)
Raw total energy   -7.209 eV per atom
Formation enthalpy at 0 K   0.245 eV per atom
Density of states at the Fermi level   0.85 states/eV per atom
Total magnetic moment   5.81 Bohr magnetons per cell

---

[10]
DFT (PBE-GGA) results for an optimized crystal structure of YP2Pt7.

abc: 4.032 4.032 10.529
angles: 101.04 101.04 90.00
Sites, in units of the cell vectors:
Pt 0.750 0.250 0.500
Pt 0.393 0.893 0.786
Pt 0.607 0.107 0.214
Pt 0.500 0.500 0.000
Pt 0.107 0.607 0.214
Pt 0.250 0.750 0.500
Pt 0.893 0.393 0.786
P 0.325 0.325 0.651
P 0.675 0.675 0.349
Y 0.000 0.000 0.000

Values from the calculation:
Space group   I4/mmm (139)
Raw total energy   -6.605 eV per atom
Formation enthalpy at 0 K   -0.648 eV per atom
Density of states at the Fermi level   0.34 states/eV per atom
Total magnetic moment   0.00 Bohr magnetons per cell

---

[11]
DFT (PBE-GGA) results for an optimized crystal structure of SrCrIr2.

abc: 3.251 3.251 7.355
angles: 90.00 90.00 90.00
Site moments in Bohr magnetons follow the coordinates.
Sites, in units of the cell vectors:
Ir 0.000 0.000 0.973  -0.35
Ir 0.500 0.500 0.197  -0.21
Sr 0.000 0.000 0.484  0.05
Cr 0.500 0.500 0.845  2.08

Values from the calculation:
Relative energy among the computed polymorphs   1.71 eV per formula unit
Space group   P4mm (99)
Raw total energy   -6.803 eV per atom
Formation enthalpy at 0 K   0.454 eV per atom
Density of states at the Fermi level   1.43 states/eV per atom
Total magnetic moment   1.93 Bohr magnetons per cell

---

[12]
DFT (PBE-GGA) results for an optimized crystal structure of CuNi2Ir.

abc: 2.637 2.637 8.330
angles: 80.89 80.89 60.00
Sites, in units of the cell vectors:
Cu 0.667 0.667 0.999
Ni 0.082 0.082 0.753
Ni 0.251 0.251 0.247
Ir 0.500 0.500 0.500

Values from the calculation:
Space group   R3m (160)
Raw total energy   -6.073 eV per atom
Formation enthalpy at 0 K   0.057 eV per atom
Density of states at the Fermi level   1.06 states/eV per atom
Total magnetic moment   0.00 Bohr magnetons per cell